Run P
## WO2F2 (PBE+U)

Data for WO2F2 after structural relaxation.

Cell and atoms, written as CIF:
```
data_WO2F2
_chemical_formula_sum 'W2 O4 F4'
_cell_length_a 6.680
_cell_length_b 3.880
_cell_length_c 7.720
_cell_angle_alpha 90.00
_cell_angle_beta 90.00
_cell_angle_gamma 90.00
_symmetry_space_group_name_H-M 'P m c 21'
_symmetry_Int_Tables_number 26
_symmetry_space_group_name_Hall 'P 2c -2'
loop_
_atom_site_label
_atom_site_fract_x
_atom_site_fract_y
_atom_site_fract_z
W1 0.000 0.034 0.000
O1 0.000 0.002 0.762
O2 0.000 0.495 0.512
F1 0.282 0.009 0.518
```



Run Q
## WO2F2 (PBE+U)

Data for WO2F2 after structural relaxation.

Cell and atoms, written as CIF:
```
data_WO2F2
_chemical_formula_sum 'W1 O2 F2'
_cell_length_a 3.648
_cell_length_b 3.648
_cell_length_c 4.094
_cell_angle_alpha 90.00
_cell_angle_beta 90.00
_cell_angle_gamma 90.00
_symmetry_space_group_name_H-M 'P 4/m m m'
_symmetry_Int_Tables_number 123
_symmetry_space_group_name_Hall '-P 4 2'
loop_
_atom_site_label
_atom_site_fract_x
_atom_site_fract_y
_atom_site_fract_z
W1 0.000 0.000 0.000
O1 0.000 0.500 0.500
F1 0.500 0.500 0.000
F2 0.500 0.500 0.500
```



Run R
## WO2F2 (PBE+U)

Data for WO2F2 after structural relaxation.

Cell and atoms, written as CIF:
```
data_WO2F2
_chemical_formula_sum 'W4 O8 F8'
_cell_length_a 3.395
_cell_length_b 3.395
_cell_length_c 21.456
_cell_angle_alpha 90.00
_cell_angle_beta 90.00
_cell_angle_gamma 90.00
_symmetry_space_group_name_H-M 'I 41/a m d'
_symmetry_Int_Tables_number 141
loop_
_symmetry_equiv_pos_as_xyz
'x,y,z'
'-x,-y,-z'
'-y+1/4,x+3/4,z+1/4'
'y+1/4,-x+3/4,-z+1/4'
'-x+1/2,-y,z+1/2'
'x+1/2,y,-z+1/2'
'y+1/4,-x+1/4,z+3/4'
'-y+1/4,x+1/4,-z+3/4'
'x,-y,-z'
'-x,y,z'
'-y+1/4,-x+1/4,-z+3/4'
'y+1/4,x+1/4,z+3/4'
'-x+1/2,y,-z+1/2'
'x+1/2,-y,z+1/2'
'y+1/4,x+3/4,-z+1/4'
'-y+1/4,-x+3/4,z+1/4'
'x+1/2,y+1/2,z+1/2'
'-x+1/2,-y+1/2,-z+1/2'
'-y+3/4,x+1/4,z+3/4'
'y+3/4,-x+1/4,-z+3/4'
'-x,-y+1/2,z'
'x,y+1/2,-z'
'y+3/4,-x+3/4,z+1/4'
'-y+3/4,x+3/4,-z+1/4'
'x+1/2,-y+1/2,-z+1/2'
'-x+1/2,y+1/2,z+1/2'
'-y+3/4,-x+3/4,-z+1/4'
'y+3/4,x+3/4,z+1/4'
'-x,y+1/2,-z'
'x,-y+1/2,z'
'y+3/4,x+1/4,-z+3/4'
'-y+3/4,-x+1/4,z+3/4'
loop_
_atom_site_label
_atom_site_fract_x
_atom_site_fract_y
_atom_site_fract_z
W1 0.000 0.250 0.375
O1 0.000 0.250 0.084
F1 0.000 0.250 0.192
```



Run S
## WO2F2 (PBE+U)

Data for WO2F2 after structural relaxation.

Cell and atoms, written as CIF:
```
data_WO2F2
_chemical_formula_sum 'W2 O4 F4'
_cell_length_a 2.835
_cell_length_b 2.835
_cell_length_c 15.091
_cell_angle_alpha 90.00
_cell_angle_beta 90.00
_cell_angle_gamma 90.00
_symmetry_space_group_name_H-M 'I 4/m m m'
_symmetry_Int_Tables_number 139
_symmetry_space_group_name_Hall '-I 4 2'
loop_
_atom_site_label
_atom_site_fract_x
_atom_site_fract_y
_atom_site_fract_z
W1 0.000 0.000 0.000
O1 0.000 0.500 0.250
F1 0.000 0.000 0.421
```



The data favor run P; the next most stable structure lies 0.363 eV/atom above it.



Run P
## WO2F2 (PBE+U)

Data for WO2F2 after structural relaxation.

Cell and atoms, written as CIF:
```
data_WO2F2
_chemical_formula_sum 'W2 O4 F4'
_cell_length_a 5.205
_cell_length_b 5.205
_cell_length_c 3.610
_cell_angle_alpha 90.00
_cell_angle_beta 90.00
_cell_angle_gamma 90.00
_symmetry_space_group_name_H-M 'P 4/m b m'
_symmetry_Int_Tables_number 127
_symmetry_space_group_name_Hall '-P 4 2ab'
loop_
_atom_site_label
_atom_site_fract_x
_atom_site_fract_y
_atom_site_fract_z
W1 0.000 0.000 0.000
O1 0.177 0.323 0.500
F1 0.142 0.642 0.000
```



Run Q
## WO2F2 (PBE+U)

Data for WO2F2 after structural relaxation.

Cell and atoms, written as CIF:
```
data_WO2F2
_chemical_formula_sum 'W4 O8 F8'
_cell_length_a 5.475
_cell_length_b 5.481
_cell_length_c 9.943
_cell_angle_alpha 90.00
_cell_angle_beta 90.00
_cell_angle_gamma 90.00
_symmetry_space_group_name_H-M 'C m c m'
_symmetry_Int_Tables_number 63
_symmetry_space_group_name_Hall '-C 2c 2'
loop_
_atom_site_label
_atom_site_fract_x
_atom_site_fract_y
_atom_site_fract_z
W1 0.000 0.209 0.250
O1 0.250 0.015 0.750
F1 0.000 0.249 0.061
```



The data favor run Q; the next most stable structure lies 2.175 eV/atom above it.



Run P
## WO2F2 (PBE+U)

Data for WO2F2 after structural relaxation.

Cell and atoms, written as CIF:
```
data_WO2F2
_chemical_formula_sum 'W1 O2 F2'
_cell_length_a 3.823
_cell_length_b 3.823
_cell_length_c 4.058
_cell_angle_alpha 90.00
_cell_angle_beta 90.00
_cell_angle_gamma 90.00
_symmetry_space_group_name_H-M 'P 4/m m m'
_symmetry_Int_Tables_number 123
_symmetry_space_group_name_Hall '-P 4 2'
loop_
_atom_site_label
_atom_site_fract_x
_atom_site_fract_y
_atom_site_fract_z
W1 0.000 0.000 0.000
O1 0.000 0.500 0.000
F1 0.000 0.000 0.500
F2 0.500 0.500 0.500
```



Run Q
## WO2F2 (PBE+U)

Data for WO2F2 after structural relaxation.

Cell and atoms, written as CIF:
```
data_WO2F2
_chemical_formula_sum 'W1 O2 F2'
_cell_length_a 4.230
_cell_length_b 4.230
_cell_length_c 3.288
_cell_angle_alpha 90.00
_cell_angle_beta 90.00
_cell_angle_gamma 90.00
_symmetry_space_group_name_H-M 'P 4/m m m'
_symmetry_Int_Tables_number 123
_symmetry_space_group_name_Hall '-P 4 2'
loop_
_atom_site_label
_atom_site_fract_x
_atom_site_fract_y
_atom_site_fract_z
W1 0.000 0.000 0.000
O1 0.500 0.500 0.000
O2 0.500 0.500 0.500
F1 0.000 0.500 0.500
```



The data favor run P; the next most stable structure lies 2.018 eV/atom above it.